Arrangement one

{
  "formula": "La2Au2I",
  "functional": "GGA-PBE",
  "state": "relaxed",
  "lattice_angstrom": [[8.6027, 0.0000, 0.0000], [0.0000, 8.6027, 0.0000], [0.0000, 0.0000, 3.8977]],
  "species": ["La", "La", "La", "La", "Au", "Au", "Au", "Au", "I", "I"],
  "fractional_positions": [[0.1678, 0.3322, 0.0000], [0.3322, 0.8322, 0.0000], [0.6678, 0.1678, 0.0000], [0.8322, 0.6678, 0.0000], [0.1233, 0.6233, 0.5000], [0.3767, 0.1233, 0.5000], [0.6233, 0.8767, 0.5000], [0.8767, 0.3767, 0.5000], [0.0000, 0.0000, 0.5000], [0.5000, 0.5000, 0.5000]],
  "dos_at_fermi_per_ev_cell": 6.5
}



Arrangement two

{
  "formula": "La2Au2I",
  "functional": "GGA-PBE",
  "state": "relaxed",
  "lattice_angstrom": [[-2.1229, 2.1229, 8.5194], [2.1229, -2.1229, 8.5194], [2.1229, 2.1229, -8.5194]],
  "species": ["La", "La", "Au", "Au", "I"],
  "fractional_positions": [[0.1232, 0.1232, 0.0000], [0.8768, 0.8768, 0.0000], [0.2500, 0.7500, 0.5000], [0.7500, 0.2500, 0.5000], [0.5000, 0.5000, 0.0000]],
  "dos_at_fermi_per_ev_cell": 5.4
}



Referenced to the most stable arrangement, the calculated values in meV per atom are arrangement one 0; arrangement two 135.



Arrangement one

{
  "formula": "LaAuI4",
  "functional": "GGA-PBE",
  "state": "relaxed",
  "lattice_angstrom": [[8.1146, 0.0000, 0.0000], [0.0000, 4.6027, 0.0000], [-7.3911, 0.0000, 15.1518]],
  "species": ["La", "La", "Au", "Au", "I", "I", "I", "I", "I", "I", "I", "I"],
  "fractional_positions": [[0.0000, 0.0000, 0.0000], [0.0000, 0.5000, 0.5000], [0.5000, 0.0000, 0.5000], [0.5000, 0.5000, 0.0000], [0.0066, 0.0055, 0.6329], [0.0066, 0.4945, 0.1329], [0.4389, 0.6290, 0.6038], [0.4389, 0.8710, 0.1038], [0.5611, 0.1290, 0.8962], [0.5611, 0.3710, 0.3962], [0.9934, 0.5055, 0.8671], [0.9934, 0.9945, 0.3671]],
  "dos_at_fermi_per_ev_cell": 0.0
}



Arrangement two

{
  "formula": "LaAuI4",
  "functional": "GGA-PBE",
  "state": "relaxed",
  "lattice_angstrom": [[-3.7174, 3.7174, 4.2568], [3.7174, -3.7174, 4.2568], [3.7174, 3.7174, -4.2568]],
  "species": ["La", "Au", "I", "I", "I", "I"],
  "fractional_positions": [[0.0000, 0.0000, 0.0000], [0.7500, 0.2500, 0.5000], [0.1399, 0.5879, 0.0063], [0.4121, 0.4184, 0.5520], [0.5816, 0.1336, 0.9937], [0.8664, 0.8601, 0.4480]]
}



Referenced to the most stable arrangement, the calculated values in meV per atom are arrangement one 0; arrangement two 94.



Arrangement one

{
  "formula": "LaAu3I",
  "functional": "GGA-PBE",
  "state": "relaxed",
  "lattice_angstrom": [[5.7238, 0.0000, 0.0000], [0.0000, 5.7238, 0.0000], [0.0000, 0.0000, 5.7238]],
  "species": ["La", "Au", "Au", "Au", "I"],
  "fractional_positions": [[0.0000, 0.0000, 0.0000], [0.0000, 0.0000, 0.5000], [0.0000, 0.5000, 0.0000], [0.5000, 0.0000, 0.0000], [0.5000, 0.5000, 0.5000]],
  "dos_at_fermi_per_ev_cell": 7.8
}



Arrangement two

{
  "formula": "LaAu3I",
  "functional": "GGA-PBE",
  "state": "relaxed",
  "lattice_angstrom": [[5.3310, 0.0000, 0.0000], [0.0000, 5.3310, 0.0000], [0.0000, 0.0000, 5.3310]],
  "species": ["La", "Au", "Au", "Au", "I"],
  "fractional_positions": [[0.0000, 0.0000, 0.0000], [0.0000, 0.5000, 0.5000], [0.5000, 0.0000, 0.5000], [0.5000, 0.5000, 0.0000], [0.5000, 0.5000, 0.5000]],
  "dos_at_fermi_per_ev_cell": 5.2
}



Referenced to the most stable arrangement, the calculated values in meV per atom are arrangement one 0; arrangement two 71.



Arrangement one

{
  "formula": "LaAu2I",
  "functional": "GGA-PBE",
  "state": "relaxed",
  "lattice_angstrom": [[-4.3255, 4.3255, 3.1238], [4.3255, -4.3255, 3.1238], [4.3255, 4.3255, -3.1238]],
  "species": ["La", "La", "Au", "Au", "Au", "Au", "I", "I"],
  "fractional_positions": [[0.0000, 0.0000, 0.0000], [0.7500, 0.2500, 0.5000], [0.1093, 0.6250, 0.9843], [0.3750, 0.3593, 0.4843], [0.6407, 0.1250, 0.0157], [0.8750, 0.8907, 0.5157], [0.2500, 0.7500, 0.5000], [0.5000, 0.5000, 0.0000]],
  "dos_at_fermi_per_ev_cell": 0.1
}



Arrangement two

{
  "formula": "LaAu2I",
  "functional": "GGA-PBE",
  "state": "relaxed",
  "lattice_angstrom": [[0.0000, 3.7634, 3.7634], [3.7634, 0.0000, 3.7634], [3.7634, 3.7634, 0.0000]],
  "species": ["La", "Au", "Au", "I"],
  "fractional_positions": [[0.0000, 0.0000, 0.0000], [0.2500, 0.2500, 0.2500], [0.7500, 0.7500, 0.7500], [0.5000, 0.5000, 0.5000]],
  "dos_at_fermi_per_ev_cell": 0.7
}



Referenced to the most stable arrangement, the calculated values in meV per atom are arrangement one 0; arrangement two 18.